1.
Material: Sm2TlPdO6
Method: DFT, PBE
State: relaxed

POSCAR file:
```
Sm2TlPdO6
1.0
5.584 0.000 0.000
0.000 6.154 0.000
-5.433 0.000 8.095
Sm Tl Pd O
4 2 2 12
direct
0.217 0.078 0.240
0.217 0.422 0.740
0.783 0.578 0.260
0.783 0.922 0.760
0.000 0.000 0.500
0.000 0.500 0.000
0.500 0.000 0.000
0.500 0.500 0.500
0.138 0.170 0.946
0.138 0.330 0.446
0.234 0.689 0.918
0.234 0.811 0.418
0.409 0.067 0.767
0.409 0.433 0.267
0.591 0.567 0.733
0.591 0.933 0.233
0.766 0.189 0.582
0.766 0.311 0.082
0.862 0.670 0.554
0.862 0.830 0.054
```

N(E_F)   1.90 states/eV/f.u.
Size of the total moment   0.82 μB per formula unit
Symmetry   No. 14
Raw formation energy   -1.913 eV/atom

2.
Material: PaTiTl2O6
Method: DFT, PBE
State: relaxed

POSCAR file:
```
PaTiTl2O6
1.0
5.121 -2.955 0.000
5.121 2.955 0.000
-3.408 0.000 4.826
Pa Ti Tl O
1 1 2 6
direct
0.000 0.000 0.000
0.500 0.500 0.500
0.250 0.250 0.750
0.750 0.750 0.250
0.261 0.738 0.738
0.262 0.262 0.261
0.262 0.739 0.262
0.738 0.261 0.738
0.738 0.738 0.739
0.739 0.262 0.262
```

N(E_F)   2.27 states/eV/f.u.
Size of the total moment   0.00 μB per formula unit
Symmetry   No. 12
Raw formation energy   -2.319 eV/atom

3.
Material: HoZn2Ni
Method: DFT, PBE
State: relaxed

POSCAR file:
```
HoZn2Ni
1.0
0.000 3.222 3.222
3.222 0.000 3.222
3.222 3.222 0.000
Ho Zn Ni
1 2 1
direct
0.000 0.000 0.000
0.250 0.250 0.250
0.750 0.750 0.750
0.500 0.500 0.500
```

N(E_F)   4.92 states/eV/f.u.
Size of the total moment   0.00 μB per formula unit
Energy relative to the elements   -0.214 eV per atom
Symmetry   No. 225

4.
Material: PrY2Os
Method: DFT, PBE
State: relaxed

POSCAR file:
```
PrY2Os
1.0
1.758 1.015 10.997
-1.758 1.015 10.997
0.000 -2.030 10.997
Pr Y Os
1 2 1
direct
0.000 0.000 0.000
0.108 0.108 0.108
0.892 0.892 0.892
0.500 0.500 0.500
```

N(E_F)   6.50 states/eV/f.u.
Size of the total moment   0.00 μB per formula unit
Relative energy among the computed polymorphs   174 kJ/mol of formula units
Energy relative to the elements   0.275 eV per atom
Symmetry   No. 166

Repeat the first record exactly.
Material: Sm2TlPdO6
Method: DFT, PBE
State: relaxed

POSCAR file:
```
Sm2TlPdO6
1.0
5.584 0.000 0.000
0.000 6.154 0.000
-5.433 0.000 8.095
Sm Tl Pd O
4 2 2 12
direct
0.217 0.078 0.240
0.217 0.422 0.740
0.783 0.578 0.260
0.783 0.922 0.760
0.000 0.000 0.500
0.000 0.500 0.000
0.500 0.000 0.000
0.500 0.500 0.500
0.138 0.170 0.946
0.138 0.330 0.446
0.234 0.689 0.918
0.234 0.811 0.418
0.409 0.067 0.767
0.409 0.433 0.267
0.591 0.567 0.733
0.591 0.933 0.233
0.766 0.189 0.582
0.766 0.311 0.082
0.862 0.670 0.554
0.862 0.830 0.054
```

N(E_F)   1.90 states/eV/f.u.
Size of the total moment   0.82 μB per formula unit
Symmetry   No. 14
Raw formation energy   -1.913 eV/atom